K3Mn2BiO6 after structural relaxation, computed with PBE+U.

```
K3Mn2BiO6
1.0
-1.247 2.323 -5.225
4.611 -3.506 0.838
-4.559 -4.504 0.075
O K Bi Mn
6 3 1 2
Direct
0.704 0.704 0.192
0.440 0.086 0.177
0.296 0.296 0.808
0.914 0.560 0.823
0.086 0.440 0.177
0.560 0.914 0.823
0.167 0.833 0.500
0.833 0.167 0.500
0.500 0.500 0.500
0.000 0.000 0.000
0.664 0.336 0.000
0.336 0.664 0.000
```

Values from the calculation:
Final energy in eV per atom: -5.73